VFe3S: optimized geometry, PBE.

Unit cell a=4.3251 b=4.3251 c=4.3251 alpha=90.00 beta=90.00 gamma=90.00
Space group Pm-3m (No. 221)
Unique sites:
V  0.0000  0.0000  0.0000 x1
Fe  0.0000  0.0000  0.5000 x3
S  0.5000  0.5000  0.5000 x1

Properties
**Density of states at the Fermi level**: 3.91 states/eV per cell
**Uncorrected formation energy**: 1252 meV per atom
**Energy above the lowest structure with this stoichiometry**: 0.946 eV per atom

Ir5Pt: optimized geometry, PBE.

Unit cell a=7.2514 b=7.2514 c=7.2514 alpha=90.00 beta=90.00 gamma=90.00
Space group F-43m (No. 216)
Unique sites:
Ir  0.0000  0.0000  0.0000 x4
Ir  0.1252  0.1252  0.3748 x16
Pt  0.2500  0.2500  0.7500 x4

Properties
**Density of states at the Fermi level**: 52.36 states/eV per cell
**Formation energy**: 0.7128 eV per atom
**Energy above the lowest structure with this stoichiometry**: 0.690 eV per atom

SbBr4: optimized geometry, PBE.

Unit cell a=6.4422 b=6.4422 c=8.6118 alpha=90.00 beta=90.00 gamma=90.00
Space group I4/mmm (No. 139)
Unique sites:
Sb  0.0000  0.0000  0.0000 x2
Br  0.0000  0.0000  0.3127 x4
Br  0.0000  0.5000  0.2500 x4

Properties
**Density of states at the Fermi level**: 15.84 states/eV per cell
**Uncorrected formation energy**: 373 meV per atom
**Energy above the lowest structure with this stoichiometry**: 0.760 eV per atom

BaPaHgCl6: optimized geometry, PBE.

Unit cell a=7.8266 b=7.8266 c=16.6141 alpha=90.00 beta=90.00 gamma=120.00
Space group P-31c (No. 163)
Unique sites:
Ba  0.3333  0.6667  0.2500 x2
Pa  0.3333  0.6667  0.7500 x2
Hg  0.0000  0.0000  0.0000 x2
Cl  0.0425  0.3985  0.6591 x12

Properties
**Uncorrected formation energy**: -1869 meV per atom

TiBrCl: optimized geometry, PBE.

Unit cell a=5.5392 b=5.5463 c=6.7608 alpha=110.07 beta=110.77 gamma=91.59
Space group P1 (No. 1)
Unique sites:
Ti  0.0000  0.0000  0.0000 x1
Ti  0.1499  0.1569  0.7499 x1
Br  0.9998  0.5101  0.0073 x1
Br  0.5087  0.0021  0.0053 x1
Cl  0.2055  0.1985  0.4190 x1
Cl  0.8021  0.8065  0.5819 x1

Properties
**Density of states at the Fermi level**: 2.17 states/eV per cell
**Uncorrected formation energy**: -1026 meV per atom
**Energy above the lowest structure with this stoichiometry**: 0.284 eV per atom

Nd2TmTlC: optimized geometry, PBE.

Unit cell a=5.1501 b=5.1501 c=4.8470 alpha=90.00 beta=90.00 gamma=90.00
Space group P4/mmm (No. 123)
Unique sites:
Nd  0.0000  0.5000  0.0000 x2
Tm  0.0000  0.0000  0.5000 x1
Tl  0.5000  0.5000  0.5000 x1
C  0.0000  0.0000  0.0000 x1

Properties
**Density of states at the Fermi level**: 2.13 states/eV per cell
**Formation energy**: -0.3376 eV per atom

LaPrTm: optimized geometry, PBE.

Unit cell a=5.7907 b=5.7907 c=3.5186 alpha=90.00 beta=90.00 gamma=120.00
Space group P-6m2 (No. 187)
Unique sites:
La  0.0000  0.0000  0.0000 x1
Pr  0.6667  0.3333  0.5000 x1
Tm  0.3333  0.6667  0.0000 x1

Properties
**Density of states at the Fermi level**: 3.75 states/eV per cell
**Formation energy**: 0.0675 eV per atom
**Energy above the lowest structure with this stoichiometry**: 0.043 eV per atom

AgBi2Pd2: optimized geometry, PBE.

Unit cell a=8.0787 b=8.0787 c=3.4260 alpha=90.00 beta=90.00 gamma=90.00
Space group P4/mbm (No. 127)
Unique sites:
Ag  0.0000  0.0000  0.0000 x2
Bi  0.1636  0.3364  0.0000 x4
Pd  0.1307  0.6307  0.5000 x4

Properties
**Density of states at the Fermi level**: 4.23 states/eV per cell
**Formation energy**: -0.0538 eV per atom
**Energy above the lowest structure with this stoichiometry**: 0.125 eV per atom